[1]
This record from Alexandria describes a relaxed KGa2Sn2 crystal. The functional is PBE.

Computed properties:
- E: -0.1175 Ha/atom
- E_form: -165 meV per atom
- Energy relative to the lowest polymorph listed for this composition: 1 meV/atom

Cell: 4.9603 4.9603 11.2556 Å, 90.00 90.00 90.00°
Space group P4/nmm (No. 129, origin choice 2)
Symmetry-distinct sites (fractional):
K: 0.2500 0.2500 0.2442 x2
Ga: 0.2500 0.2500 0.6301 x2
Ga: 0.2500 0.7500 0.0000 x2
Sn: 0.2500 0.2500 0.8735 x2
Sn: 0.2500 0.7500 0.5000 x2

---

[2]
This record from Alexandria describes a relaxed Ca4AgHg crystal. The functional is PBE.

Computed properties:
- E: -0.0564 Ha/atom
- E_form: 326 meV per atom
- Energy relative to the lowest polymorph listed for this composition: 633 meV/atom

Cell: 9.4256 9.4256 9.4256 Å, 90.00 90.00 90.00°
Space group F-43m (No. 216)
Symmetry-distinct sites (fractional):
Ca: 0.1250 0.1250 0.1250 x16
Ag: 0.0000 0.0000 0.5000 x4
Hg: 0.2500 0.2500 0.7500 x4

---

[3]
This record from Alexandria describes a relaxed TlSn4Te5 crystal. The functional is PBE.

Computed properties:
- E: -0.1359 Ha/atom
- Energy relative to the lowest polymorph listed for this composition: 0 meV/atom
- ΔE_f (raw): -2.89 eV per formula unit

Cell: 4.4908 4.4908 56.9071 Å, 90.00 90.00 120.00°
Space group R-3m (No. 166, hexagonal axes)
Symmetry-distinct sites (fractional):
Tl: 0.0000 0.0000 0.0000 x3
Sn: 0.0000 0.0000 0.1995 x6
Sn: 0.0000 0.0000 0.4014 x6
Te: 0.0000 0.0000 0.1027 x6
Te: 0.0000 0.0000 0.2950 x6
Te: 0.0000 0.0000 0.5000 x3

---

[4]
This record from Alexandria describes a relaxed BeNiTe2Cl crystal. The functional is PBE.

Computed properties:
- E: -0.1100 Ha/atom
- ΔE_f (raw): 2.67 eV per formula unit

Cell: 4.9772 4.9772 4.2326 Å, 90.00 90.00 90.00°
Space group P4/mmm (No. 123)
Symmetry-distinct sites (fractional):
Be: 0.0000 0.0000 0.0000 x1
Ni: 0.0000 0.0000 0.5000 x1
Te: 0.0000 0.5000 0.0000 x2
Cl: 0.5000 0.5000 0.5000 x1

---

[5]
This record from Alexandria describes a relaxed InAg3W crystal. The functional is PBE.

Computed properties:
- E: -0.1227 Ha/atom
- E_form: 1510 meV per atom
- Energy relative to the lowest polymorph listed for this composition: 0 meV/atom

Cell: 5.1582 5.1582 5.1582 Å, 90.00 90.00 90.00°
Space group Pm-3m (No. 221)
Symmetry-distinct sites (fractional):
In: 0.0000 0.0000 0.0000 x1
Ag: 0.0000 0.5000 0.5000 x3
W: 0.5000 0.5000 0.5000 x1

---

[6]
This record from Alexandria describes a relaxed Nd2Cd12Hg crystal. The functional is PBE.

Computed properties:
- E: -0.0546 Ha/atom
- E_form: -98 meV per atom

Cell: 6.4177 6.4177 18.5177 Å, 90.00 90.00 90.00°
Space group P4/nbm (No. 125, origin choice 2)
Symmetry-distinct sites (fractional):
Nd: 0.2500 0.7500 0.2454 x4
Cd: 0.0000 0.0000 0.4009 x8
Cd: 0.0855 0.5855 0.0680 x8
Cd: 0.2500 0.2500 0.1582 x4
Cd: 0.2500 0.2500 0.3052 x4
Hg: 0.2500 0.7500 0.5000 x2

---

[7]
This record from Alexandria describes a relaxed HfFe2Pd crystal. The functional is PBE.

Computed properties:
- E: -0.2974 Ha/atom
- E_form: -74 meV per atom

Cell: 6.1866 6.1866 6.1866 Å, 90.00 90.00 90.00°
Space group Fm-3m (No. 225)
Symmetry-distinct sites (fractional):
Hf: 0.0000 0.0000 0.0000 x4
Fe: 0.2500 0.2500 0.2500 x8
Pd: 0.0000 0.0000 0.5000 x4

---

[8]
This record from Alexandria describes a relaxed RbReAu2 crystal. The functional is PBE.

Computed properties:
- E: -0.1474 Ha/atom
- E_form: 981 meV per atom
- Energy relative to the lowest polymorph listed for this composition: 0 meV/atom

Cell: 6.0926 6.0926 15.6477 Å, 90.00 90.00 90.00°
Space group I-42d (No. 122)
Symmetry-distinct sites (fractional):
Rb: 0.0000 0.0000 0.0000 x4
Re: 0.0000 0.0000 0.5000 x4
Au: 0.0633 0.2500 0.6250 x8

---

Look up the E of the seventh one. -0.2974 Ha/atom